SmYMgBi: optimized geometry, PBE.

Properties
The calculation puts the energy relative to the elements at -32.3 kJ/mol of atoms. Its final energy is -4.50 eV/atom.

a = 7.7243 Å, b = 7.7243 Å, c = 7.7243 Å
α = 90.00°, β = 90.00°, γ = 90.00°
Last column: nearest neighbours and their distance in Å.
Space group F-43m (No. 216)
One atom of each set of equivalent atoms:
Sm1 0.0000 0.0000 0.0000  4 Bi 3.34, 4 Mg 3.34
Y1 0.0000 0.0000 0.5000  4 Mg 3.34, 4 Bi 3.34
Mg1 0.2500 0.2500 0.7500  4 Sm 3.34, 4 Y 3.34
Bi1 0.2500 0.2500 0.2500  4 Sm 3.34, 4 Y 3.34

=====

TiGe3Cl: optimized geometry, PBE.

Properties
The uncorrected formation energy comes out at 0.271 eV/atom. As for the distance to the lowest polymorph of the same formula: 0 meV/atom. Its final energy is -4.45 eV/atom.

a = 5.0035 Å, b = 5.0035 Å, c = 5.0035 Å
α = 90.00°, β = 90.00°, γ = 90.00°
Last column: nearest neighbours and their distance in Å.
Space group Pm-3m (No. 221)
One atom of each set of equivalent atoms:
Ti1 0.0000 0.0000 0.0000  6 Ge 2.50
Ge1 0.0000 0.0000 0.5000  2 Ti 2.50
Cl1 0.5000 0.5000 0.5000  12 Ge 3.54

=====

AcSnPRh6: optimized geometry, PBE.

Properties
The calculation puts the energy relative to the elements at -19.7 kJ/mol of atoms. Its final energy is -6.61 eV/atom.

a = 6.3358 Å, b = 9.1569 Å, c = 11.5503 Å
α = 90.00°, β = 90.00°, γ = 90.00°
Last column: nearest neighbours and their distance in Å.
Space group Imma (No. 74)
One atom of each set of equivalent atoms:
Ac1 0.0000 0.2500 0.1882  6 Rh 2.89-3.01
Sn1 0.2500 0.2500 0.7500  6 Rh 2.63-2.64
P1 0.0000 0.0000 0.5000  6 Rh 2.21-2.36
Rh1 0.0000 0.2500 0.4486  2 P 2.36
Rh2 0.0000 0.2500 0.9315  2 Sn 2.63, 4 Rh 2.74
Rh3 0.2347 0.0087 0.8755  1 P 2.21